(1)
First-principles (GGA-PBE) data for a geometry-optimized Ta2CuSb structure, as listed in Alexandria.

Crystal system: tetragonal
Final energy (eV/atom): -7.70
Volume (Å³/atom): 18.64

Cell and atoms, written as POSCAR:
```
Ta2CuSb
1.0
-0.743 2.200 -1.808
1.476 -1.301 -2.189
-7.122 -4.268 -2.266
Ta Cu Sb
2 1 1
Cartesian
-1.541 -0.693 -2.606
-0.059 -0.035 -0.019
-3.433 -2.057 -1.092
-4.918 -2.716 -3.680
```

(2)
First-principles (GGA-PBE) data for a geometry-optimized ErMnTlBr6 structure, as listed in Alexandria.

Crystal system: trigonal
Final energy (eV/atom): -4.20
Volume (Å³/atom): 35.89

Cell and atoms, written as POSCAR:
```
ErMnTlBr6
1.0
-2.125 -6.619 1.542
0.970 1.938 -6.782
14.043 -4.328 0.772
Br Mn Tl Er
12 2 2 2
Cartesian
2.182 -1.129 -6.045
8.284 -5.758 -2.758
7.274 -8.629 -0.469
5.614 -0.380 -4.000
4.604 -3.250 -1.710
8.232 -5.256 1.016
4.656 -3.753 -5.485
1.290 -3.518 -3.218
10.540 -9.063 -2.039
10.706 -7.880 1.577
11.598 -5.491 -1.251
2.348 0.054 -2.430
3.449 -1.996 -3.815
9.439 -7.013 -0.654
0.000 0.000 0.000
7.021 -2.164 0.386
10.471 -4.160 -3.428
2.418 -4.848 -1.040
```

(3)
First-principles (GGA-PBE) data for a geometry-optimized Ac2TlSbO6 structure, as listed in Alexandria.

Crystal system: monoclinic
Final energy (eV/atom): -6.77
Volume (Å³/atom): 17.61

Cell and atoms, written as POSCAR:
```
Ac2TlSbO6
1.0
-0.051 -2.777 -5.253
6.240 1.709 -0.964
2.714 -7.725 3.881
O Tl Ac Sb
12 2 4 2
Cartesian
1.648 -3.939 -2.209
4.410 -2.781 -4.467
5.827 -2.572 -1.175
4.826 -8.951 -0.227
4.078 0.157 -2.109
2.040 -0.890 -0.520
6.677 -4.747 -2.990
3.077 -6.222 -1.160
4.494 -6.013 2.132
7.256 -4.855 -0.126
6.864 -7.904 -1.816
2.227 -4.047 0.655
-0.025 -1.388 -2.627
4.477 -3.008 1.459
3.537 -2.307 -2.149
6.808 -0.477 0.072
2.096 -8.317 -2.407
5.367 -6.487 -0.186
1.332 -5.251 -0.686
3.120 0.854 -0.482
```

(4)
First-principles (GGA-PBE) data for a geometry-optimized LaPW2 structure, as listed in Alexandria.

Crystal system: orthorhombic
Volume (Å³/atom): 18.84
Energy of formation (eV per atom): 0.2979

Cell and atoms, written as POSCAR:
```
LaPW2
1.0
5.907 -0.003 -0.002
3.046 5.061 0.002
-3.762 -3.794 2.519
La W P
1 2 1
Cartesian
3.311 -0.634 1.258
0.431 0.244 0.000
4.045 2.286 0.000
1.880 1.898 1.260
```

What is the volume in the fourth record?
18.84 Å³/atom

volume of number 2 (ErMnTlBr6)?
35.89 Å³/atom

What is the volume in the second record?
35.89 Å³/atom

Which formula does entry 1 have?
Ta2CuSb